# 1
Below is Cd12GaAu6 after structural relaxation, with properties calculated at the PBE level.

Cell: 7.3079 7.3079 7.3079 Å, 86.87 86.87 86.87°
Closest atoms and distances in Å follow each position.
Sites, in units of the cell vectors:
Cd (0.0213, 0.3087, 0.9219)  4 Au 2.88-3.01, 5 Cd 3.01-3.18
Cd (0.0781, 0.9787, 0.6913)  4 Au 2.88-3.01, 5 Cd 3.01-3.18
Cd (0.1161, 0.3465, 0.4424)  5 Cd 2.87-3.18, 4 Au 2.88-3.15, 1 Ga 3.14
Cd (0.3087, 0.9219, 0.0213)  4 Au 2.88-3.01, 5 Cd 3.01-3.18
Cd (0.3465, 0.4424, 0.1161)  5 Cd 2.87-3.18, 4 Au 2.88-3.15, 1 Ga 3.14
Cd (0.4424, 0.1161, 0.3465)  5 Cd 2.87-3.18, 4 Au 2.88-3.15, 1 Ga 3.14
Cd (0.5576, 0.8839, 0.6535)  5 Cd 2.87-3.18, 4 Au 2.88-3.15, 1 Ga 3.14
Cd (0.6535, 0.5576, 0.8839)  5 Cd 2.87-3.18, 4 Au 2.88-3.15, 1 Ga 3.14
Cd (0.6913, 0.0781, 0.9787)  4 Au 2.88-3.01, 5 Cd 3.01-3.18
Cd (0.8839, 0.6535, 0.5576)  5 Cd 2.87-3.18, 4 Au 2.88-3.15, 1 Ga 3.14
Cd (0.9219, 0.0213, 0.3087)  4 Au 2.88-3.01, 5 Cd 3.01-3.18
Cd (0.9787, 0.6913, 0.0781)  4 Au 2.88-3.01, 5 Cd 3.01-3.18
Ga (0.5000, 0.5000, 0.5000)  6 Au 2.79
Au (0.2276, 0.7530, 0.3794)  1 Ga 2.79, 6 Cd 2.88-3.11, 2 Au 2.99
Au (0.2470, 0.6206, 0.7724)  1 Ga 2.79, 6 Cd 2.88-3.11, 2 Au 2.99
Au (0.3794, 0.2276, 0.7530)  1 Ga 2.79, 6 Cd 2.88-3.11, 2 Au 2.99
Au (0.6206, 0.7724, 0.2470)  1 Ga 2.79, 6 Cd 2.88-3.11, 2 Au 2.99
Au (0.7530, 0.3794, 0.2276)  1 Ga 2.79, 6 Cd 2.88-3.11, 2 Au 2.99
Au (0.7724, 0.2470, 0.6206)  1 Ga 2.79, 6 Cd 2.88-3.11, 2 Au 2.99

Results
Energy relative to the elements (meV per atom): -127
Total magnetization (μB per cell): 0.00

***

# 2
Below is Ca6CdIn after structural relaxation, with properties calculated at the PBE level.

Cell: 10.0919 10.0919 10.0919 Å, 148.32 148.32 45.42°
Closest atoms and distances in Å follow each position.
Sites, in units of the cell vectors:
Ca (0.0995, 0.5995, 0.5000)  2 Cd 3.32, 2 In 3.32, 1 Ca 3.70
Ca (0.2492, 0.2492, 0.0000)  12 Ca 3.90-3.94
Ca (0.4005, 0.9005, 0.5000)  2 Cd 3.32, 2 In 3.32, 1 Ca 3.70
Ca (0.5995, 0.0995, 0.5000)  2 Cd 3.32, 2 In 3.32, 1 Ca 3.70
Ca (0.7508, 0.7508, 0.0000)  12 Ca 3.90-3.94
Ca (0.9005, 0.4005, 0.5000)  2 Cd 3.32, 2 In 3.32, 1 Ca 3.70
Cd (0.5000, 0.5000, 0.0000)  8 Ca 3.32
In (0.0000, 0.0000, 0.0000)  8 Ca 3.32

Results
Energy relative to the elements (meV per atom): -218
Total magnetization (μB per cell): 0.00

***

# 3
Below is MgCuSe5 after structural relaxation, with properties calculated at the PBE level.

Cell: 3.8329 3.8329 12.0268 Å, 90.00 90.00 90.00°
Closest atoms and distances in Å follow each position.
Sites, in units of the cell vectors:
Mg (0.0000, 0.0000, 0.0000)  4 Se 2.71
Cu (0.5000, 0.5000, 0.5000)  8 Se 2.70
Se (0.0000, 0.5000, 0.3417)  2 Cu 2.70, 4 Se 2.71
Se (0.0000, 0.5000, 0.6583)  2 Cu 2.70, 4 Se 2.71
Se (0.5000, 0.0000, 0.3417)  2 Cu 2.70, 4 Se 2.71
Se (0.5000, 0.0000, 0.6583)  2 Cu 2.70, 4 Se 2.71
Se (0.5000, 0.5000, 0.0000)  4 Mg 2.71

Results
Formation energy from raw total energies (eV/atom): -0.11
Total magnetization (μB per cell): 0.00

***

# 4
Below is BAs2CBr after structural relaxation, with properties calculated at the PBE level.

Cell: 4.4147 4.4147 4.3983 Å, 90.00 90.00 90.00°
Closest atoms and distances in Å follow each position.
Sites, in units of the cell vectors:
B (0.0000, 0.0000, 0.0000)  2 Br 2.20, 4 As 2.21
As (0.0000, 0.5000, 0.0000)  2 B 2.21
As (0.5000, 0.0000, 0.0000)  2 B 2.21
C (0.5000, 0.5000, 0.5000)  8 As 3.12, 4 Br 3.12
Br (0.0000, 0.0000, 0.5000)  2 B 2.20

Results
Formation energy from raw total energies (eV/atom): 2.01
Total magnetization (μB per cell): 0.27

***

# 5
Below is CaSm15Er4 after structural relaxation, with properties calculated at the PBE level.

Cell: 5.1138 5.1138 25.4840 Å, 90.00 90.00 90.00°
Closest atoms and distances in Å follow each position.
Sites, in units of the cell vectors:
Ca (0.0000, 0.0000, 0.0000)  12 Sm 3.62-3.68
Sm (0.0000, 0.5000, 0.1041)  8 Sm 3.56-3.68, 2 Er 3.56, 2 Ca 3.68
Sm (0.0000, 0.5000, 0.3014)  8 Sm 3.59-3.62, 4 Er 3.60-3.61
Sm (0.0000, 0.5000, 0.5000)  4 Er 3.60, 8 Sm 3.60-3.62
Sm (0.0000, 0.5000, 0.6986)  8 Sm 3.59-3.62, 4 Er 3.60-3.61
Sm (0.0000, 0.5000, 0.8959)  8 Sm 3.56-3.68, 2 Er 3.56, 2 Ca 3.68
Sm (0.5000, 0.0000, 0.1041)  8 Sm 3.56-3.68, 2 Er 3.56, 2 Ca 3.68
Sm (0.5000, 0.0000, 0.3014)  8 Sm 3.59-3.62, 4 Er 3.60-3.61
Sm (0.5000, 0.0000, 0.5000)  4 Er 3.60, 8 Sm 3.60-3.62
Sm (0.5000, 0.0000, 0.6986)  8 Sm 3.59-3.62, 4 Er 3.60-3.61
Sm (0.5000, 0.0000, 0.8959)  8 Sm 3.56-3.68, 2 Er 3.56, 2 Ca 3.68
Sm (0.5000, 0.5000, 0.0000)  4 Ca 3.62, 8 Sm 3.68
Sm (0.5000, 0.5000, 0.2012)  8 Sm 3.56-3.61, 4 Er 3.62
Sm (0.5000, 0.5000, 0.4003)  8 Sm 3.59-3.60, 4 Er 3.62
Sm (0.5000, 0.5000, 0.5997)  8 Sm 3.59-3.60, 4 Er 3.62
Sm (0.5000, 0.5000, 0.7988)  8 Sm 3.56-3.61, 4 Er 3.62
Er (0.0000, 0.0000, 0.2014)  12 Sm 3.56-3.62
Er (0.0000, 0.0000, 0.4006)  12 Sm 3.60-3.62
Er (0.0000, 0.0000, 0.5994)  12 Sm 3.60-3.62
Er (0.0000, 0.0000, 0.7986)  12 Sm 3.56-3.62

Results
Energy relative to the elements (meV per atom): 29
Total magnetization (μB per cell): 0.00

***

# 6
Below is Mn2Pd4Au after structural relaxation, with properties calculated at the PBE level.

Cell: 6.8025 5.4420 7.0067 Å, 90.00 118.62 90.00°
Closest atoms and distances in Å follow each position.
Sites, in units of the cell vectors:
Mn (0.1759, 0.2500, 0.1248)  8 Pd 2.53-2.83, 1 Au 2.63
Mn (0.3076, 0.7500, 0.5579)  7 Pd 2.55-2.80, 1 Au 2.70
Mn (0.6924, 0.2500, 0.4421)  7 Pd 2.55-2.80, 1 Au 2.70
Mn (0.8241, 0.7500, 0.8752)  8 Pd 2.53-2.83, 1 Au 2.63
Pd (0.0813, 0.0002, 0.7356)  7 Pd 2.72-3.00, 4 Mn 2.74-2.83, 2 Au 2.84-2.94
Pd (0.0813, 0.4998, 0.7356)  7 Pd 2.72-3.00, 4 Mn 2.74-2.83, 2 Au 2.84-2.94
Pd (0.2312, 0.7500, 0.1641)  4 Mn 2.53-2.74, 1 Au 2.68, 1 Pd 2.74
Pd (0.3241, 0.2500, 0.5339)  3 Mn 2.54-2.73, 3 Pd 2.74-2.83
Pd (0.6759, 0.7500, 0.4661)  3 Mn 2.54-2.73, 3 Pd 2.74-2.83
Pd (0.7688, 0.2500, 0.8359)  4 Mn 2.53-2.74, 1 Au 2.68, 1 Pd 2.74
Pd (0.9187, 0.9998, 0.2644)  7 Pd 2.72-3.00, 4 Mn 2.74-2.83, 2 Au 2.84-2.94
Pd (0.9187, 0.5002, 0.2644)  7 Pd 2.72-3.00, 4 Mn 2.74-2.83, 2 Au 2.84-2.94
Au (0.4876, 0.2500, 0.0041)  2 Mn 2.63-2.70, 6 Pd 2.68-2.94, 2 Au 2.73
Au (0.5124, 0.7500, 0.9959)  2 Mn 2.63-2.70, 6 Pd 2.68-2.94, 2 Au 2.73

Results
Energy relative to the elements (meV per atom): -74
Total magnetization (μB per cell): 18.50